Entry 1:
MnAg2IrSe | GGA-PBE | relaxed

Values from the calculation:
SG = No. 123
raw formation energy = 80.1 kJ per mole of atoms
crystal system = tetragonal
magnetization = 5.259 μB/cell
electronic total energy = -23.07 eV for the cell shown

Unit cell a=5.2483 b=4.5072 c=5.2483 alpha=90.00 beta=90.00 gamma=90.00
Last column: nearest neighbours and their distance in Å.
Sites, in units of the cell vectors:
Ag (0.0000, 0.0000, 0.5000)  2 Ir 2.62
Ag (0.5000, 0.0000, 0.0000)  2 Ir 2.62
Se (0.0000, 0.5000, 0.0000)  2 Ir 2.25
Mn (0.5000, 0.5000, 0.5000)  8 Ag 3.46, 4 Se 3.71
Ir (0.0000, 0.0000, 0.0000)  2 Se 2.25

=====

Entry 2:
MnAgSnIr | GGA-PBE | relaxed

Values from the calculation:
SG = No. 216
crystal system = cubic
magnetization = 3.851 μB/cell
formation enthalpy at 0 K = 3.29 kJ/mol of atoms
electronic total energy = -24.75 eV for the cell shown

Unit cell a=4.5694 b=4.5694 c=4.5694 alpha=60.00 beta=60.00 gamma=60.00
Last column: nearest neighbours and their distance in Å.
Sites, in units of the cell vectors:
Ag (0.0000, 0.0000, 0.0000)  4 Mn 2.80, 4 Sn 2.80
Mn (0.7500, 0.7500, 0.7500)  4 Ir 2.80, 4 Ag 2.80
Ir (0.5000, 0.5000, 0.5000)  4 Sn 2.80, 4 Mn 2.80
Sn (0.2500, 0.2500, 0.2500)  4 Ag 2.80, 4 Ir 2.80

=====

Entry 3:
TaMnAgIr2 | GGA-PBE | relaxed

Values from the calculation:
SG = No. 123
crystal system = tetragonal
magnetization = 0.059 μB/cell
formation enthalpy at 0 K = 249.54 kJ/mol of atoms
electronic total energy = -28.66 eV for the cell shown

Unit cell a=4.7427 b=4.7166 c=4.7427 alpha=90.00 beta=90.00 gamma=90.00
Last column: nearest neighbours and their distance in Å.
Sites, in units of the cell vectors:
Ir (0.0000, 0.0000, 0.5000)  2 Ag 2.37
Ir (0.5000, 0.0000, 0.0000)  2 Ag 2.37
Ta (0.0000, 0.5000, 0.0000)  2 Ag 2.36
Mn (0.5000, 0.5000, 0.5000)  8 Ir 3.34, 4 Ta 3.35
Ag (0.0000, 0.0000, 0.0000)  2 Ta 2.36, 4 Ir 2.37

=====

Entry 4:
MnTcAgIr2 | GGA-PBE | relaxed

Values from the calculation:
SG = No. 123
crystal system = tetragonal
magnetization = 4.700 μB/cell
formation enthalpy at 0 K = 146.07 kJ/mol of atoms
electronic total energy = -32.54 eV for the cell shown

Unit cell a=4.6545 b=5.0266 c=4.6545 alpha=90.00 beta=90.00 gamma=90.00
Last column: nearest neighbours and their distance in Å.
Sites, in units of the cell vectors:
Tc (0.0000, 0.0000, 0.0000)  4 Ir 2.33, 2 Ag 2.51
Ir (0.0000, 0.0000, 0.5000)  2 Tc 2.33
Ir (0.5000, 0.0000, 0.0000)  2 Tc 2.33
Mn (0.5000, 0.5000, 0.5000)  4 Ag 3.29, 8 Ir 3.43
Ag (0.0000, 0.5000, 0.0000)  2 Tc 2.51

=====

Entry 5:
AgMo2Ir | GGA-PBE | relaxed

Values from the calculation:
SG = No. 8
crystal system = monoclinic
distance to the lowest polymorph of the same formula = 0.0892 eV per atom
magnetization = 0.000 μB/cell
formation enthalpy at 0 K = 23.38 kJ/mol of atoms
electronic total energy = -32.41 eV for the cell shown

Unit cell a=4.8689 b=4.8689 c=4.9675 alpha=80.78 beta=80.78 gamma=33.04
Last column: nearest neighbours and their distance in Å.
Sites, in units of the cell vectors:
Mo (0.9951, 0.9951, 0.0144)  3 Ir 2.67-2.85, 5 Mo 2.77-2.86, 4 Ag 2.81-2.88
Mo (0.7445, 0.7445, 0.7522)  3 Ag 2.76-2.86, 4 Ir 2.77-2.93, 5 Mo 2.77-2.86
Ir (0.2591, 0.2591, 0.2295)  7 Mo 2.67-2.93, 2 Ir 2.77, 3 Ag 2.83-2.91
Ag (0.5013, 0.5013, 0.5038)  7 Mo 2.76-2.88, 2 Ag 2.77, 3 Ir 2.83-2.91

=====

Entry 6:
AgMo2Ir | GGA-PBE | relaxed

Values from the calculation:
SG = No. 123
crystal system = tetragonal
distance to the lowest polymorph of the same formula = 0.0000 eV per atom
magnetization = 0.000 μB/cell
formation enthalpy at 0 K = 14.77 kJ/mol of atoms
electronic total energy = -32.76 eV for the cell shown

Unit cell a=2.7449 b=2.7449 c=8.4186 alpha=90.00 beta=90.00 gamma=90.03
Last column: nearest neighbours and their distance in Å.
Sites, in units of the cell vectors:
Mo (0.0000, 0.0000, 0.5173)  4 Mo 2.74, 4 Ir 2.76, 4 Ag 2.97
Mo (0.0000, 0.0000, 0.9827)  4 Mo 2.74, 4 Ir 2.76, 4 Ag 2.97
Ir (0.5000, 0.5000, 0.7500)  4 Ir 2.74, 8 Mo 2.76
Ag (0.5000, 0.5000, 0.2500)  4 Ag 2.74, 8 Mo 2.97